No. 1
First-principles (PBE-GGA) data for Rb3IrF8 after structural relaxation, as listed in Alexandria via LeMat-Bulk.

As for the density of states at the Fermi level: 12.9 states/eV per cell. The energy above the most stable polymorph in this dataset is 1.60 eV/f.u. As for the uncorrected formation energy: -1.992 eV/atom. Its volume is 220.3 Å³/f.u. The value obtained for the total energy is -4.22 eV/atom.

a b c (Å): 6.794 6.794 9.547
angles (deg): 90.00 90.00 90.00
Space group I-42m (No. 121)
One atom of each set of equivalent atoms:
Rb (0.000, 0.000, 0.000) (multiplicity 2)
Rb (0.000, 0.500, 0.250) (multiplicity 4)
Ir (0.000, 0.000, 0.500) (multiplicity 2)
F (0.132, 0.132, 0.674) (multiplicity 8)
F (0.203, 0.203, 0.432) (multiplicity 8)


No. 2
First-principles (PBE-GGA) data for RbIr2F after structural relaxation, as listed in Alexandria via LeMat-Bulk.

As for the density of states at the Fermi level: 34.0 states/eV per cell. The energy above the most stable polymorph in this dataset is 4.61 eV/f.u. As for the uncorrected formation energy: 1.780 eV/atom. Its volume is 74.6 Å³/f.u. The value obtained for the total energy is -3.36 eV/atom.

a b c (Å): 6.683 6.683 6.683
angles (deg): 90.00 90.00 90.00
Space group Fm-3m (No. 225)
One atom of each set of equivalent atoms:
Rb (0.000, 0.000, 0.000) (multiplicity 4)
Ir (0.250, 0.250, 0.250) (multiplicity 8)
F (0.000, 0.000, 0.500) (multiplicity 4)


No. 3
First-principles (PBE-GGA) data for Rb2IrF7 after structural relaxation, as listed in Alexandria via LeMat-Bulk.

As for the density of states at the Fermi level: 63.6 states/eV per cell. The energy above the most stable polymorph in this dataset is 1.15 eV/f.u. As for the uncorrected formation energy: -1.929 eV/atom. Its volume is 193.3 Å³/f.u. The value obtained for the total energy is -4.32 eV/atom.

a b c (Å): 9.178 9.178 9.178
angles (deg): 90.00 90.00 90.00
Space group Fm-3m (No. 225)
One atom of each set of equivalent atoms:
Rb (0.250, 0.250, 0.250) (multiplicity 8)
Ir (0.000, 0.000, 0.000) (multiplicity 4)
F (0.000, 0.000, 0.211) (multiplicity 24)
F (0.000, 0.000, 0.500) (multiplicity 4)


No. 4
First-principles (PBE-GGA) data for Rb2ReIrF6 after structural relaxation, as listed in Alexandria via LeMat-Bulk.

As for the uncorrected formation energy: -1.557 eV/atom. Its volume is 209.1 Å³/f.u. The value obtained for the total energy is -5.00 eV/atom.

a b c (Å): 7.185 7.185 8.101
angles (deg): 90.00 90.00 90.00
Space group I4/mmm (No. 139)
One atom of each set of equivalent atoms:
Rb (0.000, 0.500, 0.250) (multiplicity 4)
Re (0.000, 0.000, 0.000) (multiplicity 2)
Ir (0.000, 0.000, 0.500) (multiplicity 2)
F (0.000, 0.000, 0.247) (multiplicity 4)
F (0.196, 0.196, 0.000) (multiplicity 8)


No. 5
First-principles (PBE-GGA) data for RbRe2IrF after structural relaxation, as listed in Alexandria via LeMat-Bulk.

As for the density of states at the Fermi level: 5.8 states/eV per cell. As for the uncorrected formation energy: 3.921 eV/atom. Its volume is 141.6 Å³/f.u. The value obtained for the total energy is -3.40 eV/atom.

a b c (Å): 5.391 5.391 4.870
angles (deg): 90.00 90.00 90.00
Space group P4/mmm (No. 123)
One atom of each set of equivalent atoms:
Rb (0.000, 0.000, 0.000) (multiplicity 1)
Re (0.000, 0.500, 0.000) (multiplicity 2)
Ir (0.000, 0.000, 0.500) (multiplicity 1)
F (0.500, 0.500, 0.500) (multiplicity 1)


No. 6
First-principles (PBE-GGA) data for Rb2IrRhF6 after structural relaxation, as listed in Alexandria via LeMat-Bulk.

As for the density of states at the Fermi level: 0.0 states/eV per cell. As for the uncorrected formation energy: -1.681 eV/atom. Its volume is 169.8 Å³/f.u. The value obtained for the total energy is -4.62 eV/atom.

a b c (Å): 8.791 8.791 8.791
angles (deg): 90.00 90.00 90.00
Space group Fm-3m (No. 225)
One atom of each set of equivalent atoms:
Rb (0.250, 0.250, 0.250) (multiplicity 8)
Ir (0.000, 0.000, 0.000) (multiplicity 4)
Rh (0.000, 0.000, 0.500) (multiplicity 4)
F (0.000, 0.000, 0.234) (multiplicity 24)


No. 7
First-principles (PBE-GGA) data for Rb2SbIrF6 after structural relaxation, as listed in Alexandria via LeMat-Bulk.

As for the density of states at the Fermi level: 0.0 states/eV per cell. As for the uncorrected formation energy: -1.851 eV/atom. Its volume is 209.3 Å³/f.u. The value obtained for the total energy is -4.47 eV/atom.

a b c (Å): 6.030 6.030 11.513
angles (deg): 90.00 90.00 90.00
Space group I4/mmm (No. 139)
One atom of each set of equivalent atoms:
Rb (0.000, 0.500, 0.250) (multiplicity 4)
Sb (0.000, 0.000, 0.000) (multiplicity 2)
Ir (0.000, 0.000, 0.500) (multiplicity 2)
F (0.000, 0.000, 0.188) (multiplicity 4)
F (0.243, 0.243, 0.500) (multiplicity 8)


No. 8
First-principles (PBE-GGA) data for Rb2IrSeF6 after structural relaxation, as listed in Alexandria via LeMat-Bulk.

As for the density of states at the Fermi level: 6.3 states/eV per cell. As for the uncorrected formation energy: -1.655 eV/atom. Its volume is 192.5 Å³/f.u. The value obtained for the total energy is -4.21 eV/atom.

a b c (Å): 6.060 6.060 10.486
angles (deg): 90.00 90.00 90.00
Space group I4/mmm (No. 139)
One atom of each set of equivalent atoms:
Rb (0.000, 0.500, 0.250) (multiplicity 4)
Ir (0.000, 0.000, 0.000) (multiplicity 2)
Se (0.000, 0.000, 0.500) (multiplicity 2)
F (0.000, 0.000, 0.193) (multiplicity 4)
F (0.241, 0.241, 0.000) (multiplicity 8)


No. 9
First-principles (PBE-GGA) data for Rb2SiIrF6 after structural relaxation, as listed in Alexandria via LeMat-Bulk.

As for the density of states at the Fermi level: 18.3 states/eV per cell. As for the uncorrected formation energy: -2.082 eV/atom. Its volume is 179.0 Å³/f.u. The value obtained for the total energy is -4.83 eV/atom.

a b c (Å): 5.830 5.830 10.532
angles (deg): 90.00 90.00 90.00
Space group I4/mmm (No. 139)
One atom of each set of equivalent atoms:
Rb (0.000, 0.500, 0.250) (multiplicity 4)
Si (0.000, 0.000, 0.000) (multiplicity 2)
Ir (0.000, 0.000, 0.500) (multiplicity 2)
F (0.000, 0.000, 0.162) (multiplicity 4)
F (0.209, 0.209, 0.000) (multiplicity 8)


No. 10
First-principles (PBE-GGA) data for RbSn2IrF after structural relaxation, as listed in Alexandria via LeMat-Bulk.

As for the density of states at the Fermi level: 3.5 states/eV per cell. As for the uncorrected formation energy: -0.418 eV/atom. Its volume is 233.8 Å³/f.u. The value obtained for the total energy is -4.36 eV/atom.

a b c (Å): 4.959 4.959 9.508
angles (deg): 90.00 90.00 90.00
Space group P4/mmm (No. 123)
One atom of each set of equivalent atoms:
Rb (0.000, 0.000, 0.000) (multiplicity 1)
Sn (0.000, 0.500, 0.500) (multiplicity 2)
Ir (0.500, 0.500, 0.500) (multiplicity 1)
F (0.500, 0.500, 0.000) (multiplicity 1)


No. 11
First-principles (PBE-GGA) data for Rb2TaIrF6 after structural relaxation, as listed in Alexandria via LeMat-Bulk.

As for the density of states at the Fermi level: 9.6 states/eV per cell. As for the uncorrected formation energy: -2.041 eV/atom. Its volume is 224.6 Å³/f.u. The value obtained for the total energy is -5.43 eV/atom.

a b c (Å): 7.506 7.506 7.974
angles (deg): 90.00 90.00 90.00
Space group I4/mmm (No. 139)
One atom of each set of equivalent atoms:
Rb (0.000, 0.500, 0.250) (multiplicity 4)
Ta (0.000, 0.000, 0.000) (multiplicity 2)
Ir (0.000, 0.000, 0.500) (multiplicity 2)
F (0.000, 0.000, 0.247) (multiplicity 4)
F (0.184, 0.184, 0.000) (multiplicity 8)


No. 12
First-principles (PBE-GGA) data for Rb2TiIrF6 after structural relaxation, as listed in Alexandria via LeMat-Bulk.

As for the density of states at the Fermi level: 0.0 states/eV per cell. As for the uncorrected formation energy: -2.297 eV/atom. Its volume is 198.9 Å³/f.u. The value obtained for the total energy is -5.29 eV/atom.

a b c (Å): 7.088 7.088 7.918
angles (deg): 90.00 90.00 90.00
Space group I4/mmm (No. 139)
One atom of each set of equivalent atoms:
Rb (0.000, 0.500, 0.250) (multiplicity 4)
Ti (0.000, 0.000, 0.000) (multiplicity 2)
Ir (0.000, 0.000, 0.500) (multiplicity 2)
F (0.000, 0.000, 0.244) (multiplicity 4)
F (0.190, 0.190, 0.000) (multiplicity 8)